[1]
First-principles (PBE-GGA) data for a geometry-optimized SrCa2Zr structure, as listed in Alexandria.

Output
Space-group type   P4/mmm (123)
Energy of formation from the pure elements   0.2918 eV/atom
Polymorph energy (0 for the lowest one)   0.000 eV per atom
Raw total energy   -13.07 eV/f.u.
DOS at the Fermi energy   4.77 states/eV/f.u.

Lattice parameters (Å, degrees): 3.6856 3.6856 10.8575 90.00 90.00 89.98
Last column: nearest neighbours and their distance in Å.
Element x y z (fractional)
Sr  0.5000  0.5000  0.2500  4 Sr 3.69, 8 Ca 4.11
Ca  0.0000  0.0000  0.9568  4 Zr 3.44, 4 Ca 3.69
Ca  0.0000  0.0000  0.5432  4 Zr 3.44, 4 Ca 3.69
Zr  0.5000  0.5000  0.7500  8 Ca 3.44, 4 Zr 3.69



[2]
First-principles (PBE-GGA) data for a geometry-optimized SrCa2Zr structure, as listed in Alexandria.

Output
Space-group type   P4/mmm (123)
Energy of formation from the pure elements   0.4435 eV/atom
Polymorph energy (0 for the lowest one)   0.152 eV per atom
Raw total energy   -12.46 eV/f.u.
DOS at the Fermi energy   5.26 states/eV/f.u.

Lattice parameters (Å, degrees): 6.0370 6.0370 3.9450 90.00 90.00 90.00
Last column: nearest neighbours and their distance in Å.
Element x y z (fractional)
Sr  0.5000  0.0000  0.5000  8 Ca 3.61, 2 Sr 3.95
Ca  0.0000  0.0000  0.0000  4 Sr 3.61, 4 Zr 3.61, 2 Ca 3.95
Ca  0.5000  0.5000  0.0000  4 Zr 3.61, 4 Sr 3.61, 2 Ca 3.95
Zr  0.0000  0.5000  0.5000  8 Ca 3.61, 2 Zr 3.95



[3]
First-principles (PBE-GGA) data for a geometry-optimized SrCa2Zr structure, as listed in Alexandria.

Output
Space-group type   I-4m2 (119)
Energy of formation from the pure elements   0.4258 eV/atom
Polymorph energy (0 for the lowest one)   0.134 eV per atom
Raw total energy   -12.53 eV/f.u.
DOS at the Fermi energy   6.34 states/eV/f.u.

Lattice parameters (Å, degrees): 6.4642 6.4642 6.4642 131.59 131.59 70.88
Last column: nearest neighbours and their distance in Å.
Element x y z (fractional)
Sr  0.5000  0.5000  0.0000  4 Zr 3.74, 8 Ca 3.74-3.75
Ca  0.0000  0.0000  0.0000  4 Ca 3.74, 4 Zr 3.74, 4 Sr 3.75
Ca  0.2500  0.7500  0.5000  4 Ca 3.74, 4 Sr 3.74, 4 Zr 3.75
Zr  0.7500  0.2500  0.5000  8 Ca 3.74-3.75, 4 Sr 3.74



[4]
First-principles (PBE-GGA) data for a geometry-optimized SrCa2Zr structure, as listed in Alexandria.

Output
Space-group type   I-42d (122)
Energy of formation from the pure elements   0.7114 eV/atom
Polymorph energy (0 for the lowest one)   0.420 eV per atom
Raw total energy   -11.39 eV/f.u.
DOS at the Fermi energy   8.00 states/eV/f.u.

Lattice parameters (Å, degrees): 4.9381 4.9381 13.0298 79.08 79.08 90.00
Last column: nearest neighbours and their distance in Å.
Element x y z (fractional)
Sr  0.5000  0.5000  0.0000  4 Zr 3.49, 4 Ca 3.62
Sr  0.2500  0.7500  0.5000  4 Zr 3.49, 4 Ca 3.62
Ca  0.6414  0.1250  0.2500  4 Ca 3.38-3.61, 2 Zr 3.56, 2 Sr 3.62
Ca  0.1086  0.6250  0.2500  4 Ca 3.38-3.61, 2 Zr 3.56, 2 Sr 3.62
Ca  0.3750  0.3586  0.7500  4 Ca 3.38-3.61, 2 Zr 3.56, 2 Sr 3.62
Ca  0.8750  0.8914  0.7500  4 Ca 3.38-3.61, 2 Zr 3.56, 2 Sr 3.62
Zr  0.0000  0.0000  0.0000  4 Sr 3.49, 4 Ca 3.56
Zr  0.7500  0.2500  0.5000  4 Sr 3.49, 4 Ca 3.56



[5]
First-principles (PBE-GGA) data for a geometry-optimized SrCaZr2 structure, as listed in Alexandria.

Output
Space-group type   Cmmm (65)
Energy of formation from the pure elements   0.5600 eV/atom
Polymorph energy (0 for the lowest one)   0.293 eV per atom
Raw total energy   -18.54 eV/f.u.
DOS at the Fermi energy   5.21 states/eV/f.u.

Lattice parameters (Å, degrees): 3.3005 3.3005 11.7895 90.00 90.00 108.64
Last column: nearest neighbours and their distance in Å.
Element x y z (fractional)
Sr  0.5000  0.5000  0.7500  4 Sr 3.30, 4 Zr 3.59
Ca  0.5000  0.5000  0.2500  4 Ca 3.30, 4 Zr 3.45
Zr  0.0000  0.0000  0.0067  4 Zr 3.30, 2 Ca 3.45, 2 Sr 3.59
Zr  0.0000  0.0000  0.4933  4 Zr 3.30, 2 Ca 3.45, 2 Sr 3.59



[6]
First-principles (PBE-GGA) data for a geometry-optimized SrCaZr2 structure, as listed in Alexandria.

Output
Space-group type   I-4m2 (119)
Energy of formation from the pure elements   0.5529 eV/atom
Polymorph energy (0 for the lowest one)   0.286 eV per atom
Raw total energy   -18.57 eV/f.u.
DOS at the Fermi energy   7.32 states/eV/f.u.

Lattice parameters (Å, degrees): 5.8398 5.8398 5.8398 128.10 128.10 76.47
Last column: nearest neighbours and their distance in Å.
Element x y z (fractional)
Sr  0.7500  0.2500  0.5000  8 Zr 3.43-3.61, 4 Ca 3.43
Ca  0.5000  0.5000  0.0000  4 Sr 3.43, 8 Zr 3.43-3.61
Zr  0.0000  0.0000  0.0000  4 Zr 3.43, 4 Sr 3.43, 4 Ca 3.61
Zr  0.2500  0.7500  0.5000  4 Ca 3.43, 4 Zr 3.43, 4 Sr 3.61